Entry 1:
Here is a geometry-optimized BaGa4Ag2Au structure from Alexandria. Energies are from PBE.

a b c (Å): 4.521 4.521 10.370
angles (deg): 77.41 77.41 60.00
Atoms (fractional coordinates):
Ba: 0.000 0.000 0.000
Ga: 0.130 0.130 0.610
Ga: 0.407 0.407 0.778
Ga: 0.593 0.593 0.222
Ag: 0.759 0.759 0.722
Ga: 0.870 0.870 0.390
Au: 0.500 0.500 0.500
Ag: 0.241 0.241 0.278

Calculated values
space-group type	R-3m
spin magnetization	0.000	μB per atom
energy	-3.0921	eV per atom
energy of formation from the pure elements	-0.216	eV per atom

---

Entry 2:
Here is a geometry-optimized BaGa2AgAu5 structure from Alexandria. Energies are from PBE.

a b c (Å): 5.059 5.059 8.295
angles (deg): 90.00 90.00 90.00
Atoms (fractional coordinates):
Au: 0.000 0.500 0.178
Ga: 0.500 0.500 0.804
Ag: 0.000 0.000 0.000
Au: 0.500 0.000 0.178
Au: 0.500 0.000 0.822
Au: 0.500 0.500 0.500
Ba: 0.000 0.000 0.500
Ga: 0.500 0.500 0.196
Au: 0.000 0.500 0.822

Calculated values
space-group type	P4/mmm
spin magnetization	0.000	μB per atom
energy	-3.2821	eV per atom
energy of formation from the pure elements	-0.258	eV per atom

---

Entry 3:
Here is a geometry-optimized BaGaAgAu6 structure from Alexandria. Energies are from PBE.

a b c (Å): 7.575 9.119 9.113
angles (deg): 120.02 114.56 90.00
Atoms (fractional coordinates):
Ag: 0.500 0.000 0.500
Au: 0.890 0.140 0.780
Ga: 0.500 0.500 0.000
Au: 0.151 0.846 0.694
Au: 0.457 0.652 0.306
Au: 0.543 0.348 0.694
Au: 0.543 0.846 0.694
Au: 0.849 0.154 0.306
Ba: 0.130 0.380 0.259
Ba: 0.870 0.620 0.741
Ag: 0.000 0.000 0.500
Au: 0.151 0.348 0.694
Au: 0.457 0.154 0.306
Ga: 0.500 0.000 0.000
Au: 0.110 0.860 0.220
Au: 0.595 0.345 0.190
Au: 0.405 0.655 0.810
Au: 0.849 0.652 0.306

Calculated values
space-group type	Imma
spin magnetization	0.000	μB per atom
energy	-3.1355	eV per atom
energy of formation from the pure elements	-0.084	eV per atom

---

Entry 4:
Here is a geometry-optimized BaGaAg2Au structure from Alexandria. Energies are from PBE.

a b c (Å): 5.086 5.086 5.064
angles (deg): 90.00 90.00 90.00
Atoms (fractional coordinates):
Au: 0.000 0.000 0.500
Ag: 0.000 0.500 0.000
Ga: 0.000 0.000 0.000
Ag: 0.500 0.000 0.000
Ba: 0.500 0.500 0.500

Calculated values
space-group type	P4/mmm
spin magnetization	0.000	μB per atom
energy	-3.0382	eV per atom
energy of formation from the pure elements	-0.252	eV per atom

---

Entry 5:
Here is a geometry-optimized Ba2GaAg2Au4 structure from Alexandria. Energies are from PBE.

a b c (Å): 6.723 6.723 6.723
angles (deg): 98.82 115.05 115.05
Atoms (fractional coordinates):
Ag: 0.000 0.326 0.326
Ga: 0.000 0.000 0.000
Ba: 0.500 0.250 0.750
Au: 0.000 0.743 0.257
Au: 0.486 0.743 0.743
Ba: 0.500 0.750 0.250
Ag: 0.000 0.674 0.674
Au: 0.000 0.257 0.743
Au: 0.514 0.257 0.257

Calculated values
space-group type	I4/mmm
spin magnetization	0.000	μB per atom
energy	-3.2731	eV per atom
energy of formation from the pure elements	-0.419	eV per atom

---

Entry 6:
Here is a geometry-optimized Ba2Ga3Ag4Au structure from Alexandria. Energies are from PBE.

a b c (Å): 4.704 4.704 11.072
angles (deg): 90.00 90.00 90.00
Atoms (fractional coordinates):
Ag: 0.000 0.000 0.000
Ba: 0.000 0.500 0.745
Ga: 0.500 0.000 0.883
Ga: 0.000 0.500 0.117
Ga: 0.000 0.000 0.500
Ba: 0.500 0.000 0.255
Au: 0.500 0.500 0.500
Ag: 0.500 0.000 0.640
Ag: 0.000 0.500 0.360
Ag: 0.500 0.500 0.000

Calculated values
space-group type	P-4m2
spin magnetization	0.000	μB per atom
energy	-3.0557	eV per atom
energy of formation from the pure elements	-0.295	eV per atom

---

Entry 7:
Here is a geometry-optimized Ba2AgGe4Au3 structure from Alexandria. Energies are from PBE.

a b c (Å): 4.653 4.653 10.883
angles (deg): 90.00 90.00 90.00
Atoms (fractional coordinates):
Ba: 0.000 0.500 0.748
Ag: 0.500 0.500 0.500
Au: 0.000 0.500 0.125
Ge: 0.500 0.500 0.000
Ge: 0.000 0.500 0.370
Ba: 0.500 0.000 0.252
Au: 0.500 0.000 0.875
Ge: 0.000 0.000 0.000
Ge: 0.500 0.000 0.630
Au: 0.000 0.000 0.500

Calculated values
space-group type	P-4m2
spin magnetization	0.000	μB per atom
energy	-3.9564	eV per atom
energy of formation from the pure elements	-0.457	eV per atom

---

Entry 8:
Here is a geometry-optimized BaAg2GeAu structure from Alexandria. Energies are from PBE.

a b c (Å): 5.041 5.041 5.220
angles (deg): 90.00 90.00 90.00
Atoms (fractional coordinates):
Ag: 0.500 0.000 0.000
Ba: 0.500 0.500 0.500
Ag: 0.000 0.500 0.000
Au: 0.000 0.000 0.500
Ge: 0.000 0.000 0.000

Calculated values
space-group type	P4/mmm
spin magnetization	0.000	μB per atom
energy	-3.3206	eV per atom
energy of formation from the pure elements	-0.217	eV per atom

---

energy of number 3 (BaGaAgAu6)? -3.1355 eV per atom